# 1
The following is a PBE-GGA calculation of a relaxed LaHg2Br crystal, from Alexandria. Values from VASP.

## Properties
**Magnetic moment**: 0.000 μB per formula unit
**Formation energy without anion corrections**: -0.4249 eV/atom
**DOS(E_F)**: 1.152 states/eV/atom
**Excess energy over the best structure of this formula in the dataset**: 281 meV/atom
**Theoretical density**: 8953 kg/m³
**SG**: No. 225

Structure (Quantum ESPRESSO input):
```
&SYSTEM
  ibrav = 0, nat = 4, ntyp = 3
/
ATOMIC_SPECIES
Hg 200.59 Hg.upf
Br 79.90 Br.upf
La 138.91 La.upf
ATOMIC_POSITIONS angstrom
Hg -2.5235 -1.4595 1.6353
Hg -7.5704 -4.3785 4.9059
Br 0.0000 0.0000 0.0000
La -5.0469 -2.9190 3.2706
CELL_PARAMETERS angstrom
-1.9846 -1.2539 4.9276
-5.3867 0.0888 0.8761
-2.7225 -4.6730 0.7374
```

# 2
The following is a PBE-GGA calculation of a relaxed Be2CuNi crystal, from Alexandria. Values from VASP.

## Properties
**Magnetic moment**: 0.000 μB per formula unit
**Calculated formation energy**: -104 meV/atom
**DOS(E_F)**: 0.382 states/eV/atom
**Theoretical density**: 5970 kg/m³
**SG**: No. 216

Structure (Quantum ESPRESSO input):
```
&SYSTEM
  ibrav = 0, nat = 4, ntyp = 3
/
ATOMIC_SPECIES
Ni 58.69 Ni.upf
Cu 63.55 Cu.upf
Be 9.01 Be.upf
ATOMIC_POSITIONS angstrom
Ni 2.4782 -5.1496 4.0315
Cu 1.6521 -3.4330 2.6876
Be 0.0000 0.0000 0.0000
Be 0.8261 -1.7165 1.3438
CELL_PARAMETERS angstrom
-0.9539 -2.9008 2.2733
2.1276 -3.1565 0.0526
2.1306 -0.8088 3.0494
```

# 3
The following is a PBE-GGA calculation of a relaxed Pu2PAu crystal, from Alexandria. Values from VASP.

## Properties
**Magnetic moment**: 11.684 μB per formula unit
**Calculated formation energy**: -649 meV/atom
**DOS(E_F)**: 5.202 states/eV/atom
**Excess energy over the best structure of this formula in the dataset**: 68 meV/atom
**Theoretical density**: 11746 kg/m³
**SG**: No. 166

Structure (Quantum ESPRESSO input):
```
&SYSTEM
  ibrav = 0, nat = 4, ntyp = 3
/
ATOMIC_SPECIES
P 30.97 P.upf
Au 196.97 Au.upf
Pu 244.00 Pu.upf
ATOMIC_POSITIONS angstrom
P 0.0000 0.0000 0.0000
Au -5.8851 0.0976 0.0479
Pu -8.9488 0.1072 0.2223
Pu -2.8215 0.0880 -0.1264
CELL_PARAMETERS angstrom
-2.7018 2.5477 -1.5120
-2.7745 -1.3170 -2.5776
-6.2940 -1.0356 4.1855
```

# 4
The following is a PBE-GGA calculation of a relaxed InNiSbTe2 crystal, from Alexandria. Values from VASP.

## Properties
**Magnetic moment**: 0.949 μB per formula unit
**Formation energy without anion corrections**: 1.1474 eV/atom
**DOS(E_F)**: 2.100 states/eV/atom
**Excess energy over the best structure of this formula in the dataset**: 973 meV/atom
**Theoretical density**: 5134 kg/m³
**SG**: No. 123

Structure (Quantum ESPRESSO input):
```
&SYSTEM
  ibrav = 0, nat = 5, ntyp = 4
/
ATOMIC_SPECIES
Sb 121.76 Sb.upf
Te 127.60 Te.upf
Ni 58.69 Ni.upf
In 114.82 In.upf
ATOMIC_POSITIONS angstrom
Sb 0.0000 0.0000 2.7664
Te 0.0000 2.8364 0.0000
Te 2.8364 0.0000 0.0000
Ni 2.8364 2.8364 2.7664
In 0.0000 0.0000 0.0000
CELL_PARAMETERS angstrom
5.6728 0.0000 0.0000
0.0000 5.6728 0.0000
0.0000 0.0000 5.5327
```